1.
Here is a relaxed structure of Dy2Al3Tc from the Alexandria database. Energies are from PBE-GGA.

Cell: 5.4532 5.4532 5.4532 Å, 60.92 60.92 60.92°
Fractional positions:
Dy (0.1278, 0.1278, 0.1278)
Dy (0.8722, 0.8722, 0.8722)
Al (0.0000, 0.5000, 0.5000)
Al (0.5000, 0.0000, 0.5000)
Al (0.5000, 0.5000, 0.0000)
Tc (0.5000, 0.5000, 0.5000)

Properties
- magnetic moment (μB/f.u.) = 0.0
- relative energy among the computed polymorphs (kJ/mol of formula units) = 19
- N(E_F) (states/eV/atom) = 0.695
- symmetry = R-3m (166)
- energy of formation from the pure elements (eV per formula unit) = -2.88



2.
Here is a relaxed structure of CaTlTe2SeF from the Alexandria database. Energies are from PBE-GGA.

Cell: 6.6446 4.0432 8.3272 Å, 90.00 104.68 90.00°
Fractional positions:
Ca (0.0000, 0.0000, 0.0000)
Tl (0.5180, 0.5000, 0.3536)
Te (0.4992, 0.0000, 0.0107)
Te (0.6178, 0.5000, 0.7820)
Se (0.8069, 0.0000, 0.6255)
F (0.0723, 0.5000, 0.1114)

Properties
- uncorrected formation energy (eV per atom) = -1.2264
- magnetic moment (μB/f.u.) = 0.0
- relative energy among the computed polymorphs (kJ/mol of formula units) = 30
- symmetry = Pm (6)



3.
Here is a relaxed structure of SnOsC3 from the Alexandria database. Energies are from PBE-GGA.

Cell: 4.0604 4.0604 4.0604 Å, 90.00 90.00 90.00°
Fractional positions:
Sn (0.0000, 0.0000, 0.0000)
Os (0.5000, 0.5000, 0.5000)
C (0.0000, 0.5000, 0.5000)
C (0.5000, 0.0000, 0.5000)
C (0.5000, 0.5000, 0.0000)

Properties
- magnetic moment (μB/f.u.) = 0.0
- relative energy among the computed polymorphs (kJ/mol of formula units) = 0
- N(E_F) (states/eV/atom) = 0.580
- symmetry = Pm-3m (221)
- energy of formation from the pure elements (eV per formula unit) = 9.07



4.
Here is a relaxed structure of Li4DyBi2 from the Alexandria database. Energies are from PBE-GGA.

Cell: 8.1971 8.1971 4.5782 Å, 90.00 90.00 90.00°
Fractional positions:
Li (0.1027, 0.3473, 0.0000)
Li (0.1527, 0.6027, 0.5000)
Li (0.3473, 0.1027, 0.0000)
Li (0.3973, 0.8473, 0.5000)
Li (0.6027, 0.1527, 0.5000)
Li (0.6527, 0.8973, 0.0000)
Li (0.8473, 0.3973, 0.5000)
Li (0.8973, 0.6527, 0.0000)
Dy (0.0000, 0.0000, 0.5000)
Dy (0.5000, 0.5000, 0.0000)
Bi (0.2084, 0.7916, 0.0000)
Bi (0.2916, 0.2916, 0.5000)
Bi (0.7084, 0.7084, 0.5000)
Bi (0.7916, 0.2084, 0.0000)

Properties
- magnetic moment (μB/f.u.) = 0.1
- N(E_F) (states/eV/atom) = 0.622
- symmetry = P4_2/mnm (136)
- energy of formation from the pure elements (eV per formula unit) = -3.72



5.
Here is a relaxed structure of Sr4RhPb from the Alexandria database. Energies are from PBE-GGA.

Cell: 6.6760 6.6760 6.6760 Å, 60.00 60.00 60.00°
Fractional positions:
Sr (0.3755, 0.3755, 0.3755)
Sr (0.3755, 0.3755, 0.8734)
Sr (0.3755, 0.8734, 0.3755)
Sr (0.8734, 0.3755, 0.3755)
Rh (0.7500, 0.7500, 0.7500)
Pb (0.0000, 0.0000, 0.0000)

Properties
- magnetic moment (μB/f.u.) = 0.0
- relative energy among the computed polymorphs (kJ/mol of formula units) = 553
- N(E_F) (states/eV/atom) = 1.013
- symmetry = F-43m (216)
- energy of formation from the pure elements (eV per formula unit) = 3.60



6.
Here is a relaxed structure of CaNiSb from the Alexandria database. Energies are from PBE-GGA.

Cell: 4.3193 4.3193 4.2794 Å, 90.00 90.00 120.00°
Fractional positions:
Ca (0.0000, 0.0000, 0.0000)
Ni (0.6667, 0.3333, 0.5000)
Sb (0.3333, 0.6667, 0.5000)

Properties
- uncorrected formation energy (eV per atom) = -0.6283
- magnetic moment (μB/f.u.) = 0.0
- N(E_F) (states/eV/atom) = 1.014
- symmetry = P-6m2 (187)